Record 1
Entry from Alexandria: a relaxed structure of Ba3La3Cu6O14 (GGA-PBEsol).

## Properties
Calculated density (g/cm3): 6.88
E (eV for the cell shown): -172.2

Cell lengths 12.2187, 12.1961, 5.4680 Å; angles 77.29, 76.83, 25.88 degrees
Atoms (fractional coordinates):
1 Ba 0.0000 0.0000 0.0000
2 Ba 0.1809 0.1809 0.8191
3 Ba 0.6790 0.6790 0.3210
4 La 0.3401 0.3401 0.6599
5 La 0.4983 0.4983 0.5017
6 La 0.8409 0.8409 0.1591
7 Cu 0.0880 0.0880 0.4120
8 Cu 0.2635 0.2635 0.2365
9 Cu 0.4169 0.4169 0.0831
10 Cu 0.5880 0.5880 0.9120
11 Cu 0.7635 0.7635 0.7365
12 Cu 0.9169 0.9169 0.5831
13 O 0.0082 0.0082 0.4918
14 O 0.0239 0.5241 0.9761
15 O 0.0238 0.5262 0.4738
16 O 0.1631 0.6570 0.8369
17 O 0.1676 0.1676 0.3324
18 O 0.1689 0.6539 0.3461
19 O 0.3655 0.7962 0.6345
20 O 0.5082 0.5082 0.9918
21 O 0.5241 0.0239 0.4759
22 O 0.5262 0.0238 0.9762
23 O 0.6539 0.1689 0.8311
24 O 0.6570 0.1631 0.3430
25 O 0.6676 0.6676 0.8324
26 O 0.7962 0.3655 0.2038

Record 2
Entry from Alexandria: a relaxed structure of CrTeBr2 (GGA-PBEsol).

## Properties
Calculated density (g/cm3): 6.03
E (eV for the cell shown): -15.5

Cell lengths 5.0930, 5.0930, 5.0930 Å; angles 60.00, 60.00, 60.00 degrees
Atoms (fractional coordinates):
1 Cr 0.0000 0.0000 0.0000
2 Te 0.5000 0.5000 0.5000
3 Br 0.2500 0.2500 0.2500
4 Br 0.7500 0.7500 0.7500

Record 3
Entry from Alexandria: a relaxed structure of NiRh3 (GGA-PBEsol).

## Properties
Calculated density (g/cm3): 11.87
Formation energy from the elements (eV/atom): 0.061

Cell lengths 4.2649, 5.2823, 4.5640 Å; angles 90.00, 90.00, 90.00 degrees
Atoms (fractional coordinates):
1 Ni 0.2500 0.2500 0.1700
2 Ni 0.7500 0.7500 0.8300
3 Rh 0.2500 0.5023 0.6679
4 Rh 0.2500 0.7500 0.1584
5 Rh 0.2500 0.9977 0.6679
6 Rh 0.7500 0.0023 0.3321
7 Rh 0.7500 0.2500 0.8416
8 Rh 0.7500 0.4977 0.3321

Record 4
Entry from Alexandria: a relaxed structure of MoS2 (GGA-PBEsol).

## Properties
Calculated density (g/cm3): 5.02
E (eV for the cell shown): -23.4

Cell lengths 6.4679, 6.4679, 6.4679 Å; angles 28.09, 28.09, 28.09 degrees
Atoms (fractional coordinates):
1 Mo 0.0000 0.0000 0.0000
2 S 0.2498 0.2498 0.2498
3 S 0.4169 0.4169 0.4169

Record 5
Entry from Alexandria: a relaxed structure of Sc2MoOs (GGA-PBEsol).

## Properties
Calculated density (g/cm3): 9.39
Formation energy from the elements (eV/atom): 0.008

Cell lengths 5.3117, 5.3117, 5.3117 Å; angles 145.67, 127.22, 64.49 degrees
Atoms (fractional coordinates):
1 Sc 0.2407 0.2407 0.0000
2 Sc 0.7593 0.7593 0.0000
3 Mo 0.5000 0.0000 0.5000
4 Os 0.0000 0.5000 0.5000

Record 6
Entry from Alexandria: a relaxed structure of Li2Mo3S4 (GGA-PBEsol).

## Properties
Calculated density (g/cm3): 5.01
E (eV for the cell shown): -131.6

Cell lengths 6.5898, 6.6042, 6.6138 Å; angles 94.50, 95.51, 93.88 degrees
Atoms (fractional coordinates):
1 Li 0.0000 0.0000 0.0000
2 Li 0.0117 0.4063 0.3856
3 Li 0.0622 0.4961 0.8792
4 Li 0.5792 0.4224 0.0435
5 Mo 0.2145 0.9890 0.4228
6 Mo 0.3983 0.6737 0.5574
7 Mo 0.4382 0.0294 0.7813
8 Mo 0.5286 0.8544 0.2434
9 Mo 0.5707 0.2112 0.4684
10 Mo 0.7527 0.8945 0.6018
11 S 0.1173 0.8159 0.7201
12 S 0.1976 0.6620 0.2204
13 S 0.2701 0.3123 0.6392
14 S 0.3526 0.1562 0.1417
15 S 0.6143 0.7302 0.8816
16 S 0.6986 0.5727 0.3910
17 S 0.7724 0.2266 0.8011
18 S 0.8486 0.0652 0.3037

Record 7
Entry from Alexandria: a relaxed structure of SmCd20Pd2 (GGA-PBEsol).

## Properties
Calculated density (g/cm3): 9.32
Formation energy from the elements (eV/atom): -0.202

Cell lengths 10.9604, 10.9604, 10.9604 Å; angles 60.00, 60.00, 60.00 degrees
Atoms (fractional coordinates):
1 Sm 0.1250 0.1250 0.1250
2 Sm 0.8750 0.8750 0.8750
3 Cd 0.0000 0.0000 0.0000
4 Cd 0.0000 0.0000 0.5000
5 Cd 0.0000 0.5000 0.0000
6 Cd 0.0566 0.3227 0.3227
7 Cd 0.0566 0.3227 0.7979
8 Cd 0.0566 0.7979 0.3227
9 Cd 0.2021 0.6773 0.6773
10 Cd 0.2021 0.6773 0.9434
11 Cd 0.2021 0.9434 0.6773
12 Cd 0.2375 0.2375 0.5125
13 Cd 0.2375 0.5125 0.2375
14 Cd 0.2375 0.5125 0.5125
15 Cd 0.3227 0.0566 0.3227
16 Cd 0.3227 0.0566 0.7979
17 Cd 0.3227 0.3227 0.0566
18 Cd 0.3227 0.3227 0.7979
19 Cd 0.3227 0.7979 0.0566
20 Cd 0.3227 0.7979 0.3227
21 Cd 0.4875 0.4875 0.7625
22 Cd 0.4875 0.7625 0.4875
23 Cd 0.4875 0.7625 0.7625
24 Cd 0.5000 0.0000 0.0000
25 Cd 0.5125 0.2375 0.2375
26 Cd 0.5125 0.2375 0.5125
27 Cd 0.5125 0.5125 0.2375
28 Cd 0.6773 0.2021 0.6773
29 Cd 0.6773 0.2021 0.9434
30 Cd 0.6773 0.6773 0.2021
31 Cd 0.6773 0.6773 0.9434
32 Cd 0.6773 0.9434 0.2021
33 Cd 0.6773 0.9434 0.6773
34 Cd 0.7625 0.4875 0.4875
35 Cd 0.7625 0.4875 0.7625
36 Cd 0.7625 0.7625 0.4875
37 Cd 0.7979 0.0566 0.3227
38 Cd 0.7979 0.3227 0.0566
39 Cd 0.7979 0.3227 0.3227
40 Cd 0.9434 0.2021 0.6773
41 Cd 0.9434 0.6773 0.2021
42 Cd 0.9434 0.6773 0.6773
43 Pd 0.0000 0.5000 0.5000
44 Pd 0.5000 0.0000 0.5000
45 Pd 0.5000 0.5000 0.0000
46 Pd 0.5000 0.5000 0.5000

Record 8
Entry from Alexandria: a relaxed structure of GeSI2N (GGA-PBEsol).

## Properties
Calculated density (g/cm3): 5.42
Excess energy over the best structure of this formula in the dataset (eV/atom): 0.0000

Cell lengths 5.7785, 5.7785, 3.4208 Å; angles 90.00, 90.00, 90.00 degrees
Atoms (fractional coordinates):
1 Ge 0.0000 0.0000 0.0000
2 S 0.5000 0.5000 0.5000
3 I 0.0000 0.5000 0.5000
4 I 0.5000 0.0000 0.5000
5 N 0.5000 0.5000 0.0000

Record 9
Entry from Alexandria: a relaxed structure of NaCd3Br (GGA-PBEsol).

## Properties
Calculated density (g/cm3): 3.78
E (eV for the cell shown): -5.0

Cell lengths 5.7826, 5.7826, 5.7826 Å; angles 90.00, 90.00, 90.00 degrees
Atoms (fractional coordinates):
1 Na 0.0000 0.0000 0.0000
2 Cd 0.0000 0.5000 0.5000
3 Cd 0.5000 0.0000 0.5000
4 Cd 0.5000 0.5000 0.0000
5 Br 0.5000 0.5000 0.5000

Record 10
Entry from Alexandria: a relaxed structure of ZrIr2Pb (GGA-PBEsol).

## Properties
Calculated density (g/cm3): 15.76
Formation energy from the elements (eV/atom): 0.334

Cell lengths 9.5001, 9.5001, 9.5001 Å; angles 18.06, 18.06, 18.06 degrees
Atoms (fractional coordinates):
1 Zr 0.0000 0.0000 0.0000
2 Ir 0.4895 0.4895 0.4895
3 Ir 0.7476 0.7476 0.7476
4 Pb 0.2377 0.2377 0.2377

Record 11
Entry from Alexandria: a relaxed structure of In (GGA-PBEsol).

## Properties
Calculated density (g/cm3): 7.48
Formation energy from the elements (eV/atom): 0.008
Excess energy over the best structure of this formula in the dataset (eV/atom): 0.0083

Cell lengths 8.7105, 8.7105, 8.7105 Å; angles 21.31, 21.31, 21.31 degrees
Atoms (fractional coordinates):
1 In 0.0000 0.0000 0.0000
2 In 0.2221 0.2221 0.2221
3 In 0.7779 0.7779 0.7779

Record 12
Entry from Alexandria: a relaxed structure of Cd2TcTeP (GGA-PBEsol).

## Properties
Calculated density (g/cm3): 5.68
E (eV for the cell shown): -15.4

Cell lengths 5.3253, 5.3253, 4.9632 Å; angles 90.00, 90.00, 90.00 degrees
Atoms (fractional coordinates):
1 Cd 0.0000 0.5000 0.0000
2 Cd 0.5000 0.0000 0.0000
3 Tc 0.0000 0.0000 0.5000
4 Te 0.0000 0.0000 0.0000
5 P 0.5000 0.5000 0.5000